Entry from the Alexandria database: a relaxed Er12Pd3N5 crystal (PBE-GGA).

Unit cell a=15.131 b=15.131 c=15.131 alpha=90.00 beta=90.00 gamma=90.00
Space group Ia-3d (No. 230)
Inequivalent atoms, fractional coordinates:
Er (0.033, 0.053, 0.650) x96
Pd (0.000, 0.250, 0.125) x24
N (0.000, 0.000, 0.000) x16
N (0.000, 0.250, 0.375) x24

- E_form (uncorrected) (meV/atom) = -982
- DOS at the Fermi energy (states/eV/atom) = 0.804